Entry 1:
This record from Alexandria via LeMat-Bulk describes a relaxed RbLaY2Ru crystal. The functional is PBE-GGA.

Computed properties:
V = 35.70 Å³ per atom
DFT total energy = -5.56 eV/atom

a = 5.6160 Å, b = 5.6160 Å, c = 5.6591 Å
α = 90.00°, β = 90.00°, γ = 90.00°
Space group P4/mmm (No. 123)
Symmetry-distinct sites (fractional):
Rb 0.0000 0.0000 0.0000 [1 per cell]
La 0.5000 0.5000 0.0000 [1 per cell]
Y 0.0000 0.5000 0.5000 [2 per cell]
Ru 0.5000 0.5000 0.5000 [1 per cell]

---

Entry 2:
This record from Alexandria via LeMat-Bulk describes a relaxed ScTlBi2 crystal. The functional is PBE-GGA.

Computed properties:
V = 28.21 Å³ per atom
DFT total energy = -4.27 eV/atom

a = 5.0704 Å, b = 5.0704 Å, c = 4.3889 Å
α = 90.00°, β = 90.00°, γ = 90.00°
Space group P4/mmm (No. 123)
Symmetry-distinct sites (fractional):
Sc 0.0000 0.0000 0.0000 [1 per cell]
Tl 0.5000 0.5000 0.0000 [1 per cell]
Bi 0.0000 0.5000 0.5000 [2 per cell]

---

| no. | ΔE_f (meV/atom) |
| --- | --- |
| 1 | 60.5 |
| 2 | -154.5 |